[1]
DFT (PBE) results for a relaxed KSr2Au9 crystal.

a = 9.940 Å, b = 9.940 Å, c = 9.940 Å
α = 33.97°, β = 33.97°, γ = 33.97°
Atoms (fractional coordinates):
K (0.000, 0.000, 0.000)
Sr (0.140, 0.140, 0.140)
Sr (0.860, 0.860, 0.860)
Au (0.080, 0.586, 0.586)
Au (0.333, 0.333, 0.333)
Au (0.414, 0.414, 0.920)
Au (0.414, 0.920, 0.414)
Au (0.500, 0.500, 0.500)
Au (0.586, 0.080, 0.586)
Au (0.586, 0.586, 0.080)
Au (0.667, 0.667, 0.667)
Au (0.920, 0.414, 0.414)

Values from the calculation:
Uncorrected energy: -39.15 eV per formula unit
DFT formation energy: -432 meV/atom
Total moment: 0.0 μB per formula unit
Space group: R-3m (166)



[2]
DFT (PBE) results for a relaxed In4TcRh crystal.

a = 5.594 Å, b = 5.594 Å, c = 5.594 Å
α = 60.00°, β = 60.00°, γ = 60.00°
Atoms (fractional coordinates):
In (0.125, 0.125, 0.125)
In (0.125, 0.125, 0.625)
In (0.125, 0.625, 0.125)
In (0.625, 0.125, 0.125)
Tc (0.500, 0.500, 0.500)
Rh (0.750, 0.750, 0.750)

Values from the calculation:
Uncorrected energy: -23.81 eV per formula unit
DFT formation energy: 810 meV/atom
Total moment: 1.8 μB per formula unit
Space group: F-43m (216)



[3]
DFT (PBE) results for a relaxed LiTbSmOs crystal.

a = 4.957 Å, b = 4.957 Å, c = 4.957 Å
α = 60.00°, β = 60.00°, γ = 60.00°
Atoms (fractional coordinates):
Li (0.000, 0.000, 0.000)
Tb (0.750, 0.750, 0.750)
Sm (0.250, 0.250, 0.250)
Os (0.500, 0.500, 0.500)

Values from the calculation:
Uncorrected energy: -23.19 eV per formula unit
DFT formation energy: -174 meV/atom
Total moment: 0.0 μB per formula unit
Space group: F-43m (216)



[4]
DFT (PBE) results for a relaxed La2SmYO crystal.

a = 5.343 Å, b = 5.343 Å, c = 4.725 Å
α = 90.00°, β = 90.00°, γ = 90.00°
Atoms (fractional coordinates):
La (0.000, 0.500, 0.000)
La (0.500, 0.000, 0.000)
Sm (0.000, 0.000, 0.500)
Y (0.500, 0.500, 0.500)
O (0.500, 0.500, 0.000)

Values from the calculation:
Uncorrected energy: -31.65 eV per formula unit
Total moment: 0.0 μB per formula unit
Uncorrected formation energy: -1.132 eV per atom
Space group: P4/mmm (123)



[5]
DFT (PBE) results for a relaxed Pu6Ru5Pt crystal.

a = 7.607 Å, b = 7.607 Å, c = 6.793 Å
α = 90.00°, β = 90.00°, γ = 143.10°
Atoms (fractional coordinates):
Pu (0.000, 0.000, 0.248)
Pu (0.000, 0.000, 0.752)
Pu (0.332, 0.668, 0.249)
Pu (0.332, 0.668, 0.751)
Pu (0.668, 0.332, 0.249)
Pu (0.668, 0.332, 0.751)
Ru (0.166, 0.834, 0.000)
Ru (0.171, 0.829, 0.500)
Ru (0.500, 0.500, 0.000)
Ru (0.829, 0.171, 0.500)
Ru (0.834, 0.166, 0.000)
Pt (0.500, 0.500, 0.500)

Values from the calculation:
Uncorrected energy: -141.13 eV per formula unit
DFT formation energy: -227 meV/atom
Total moment: 27.1 μB per formula unit
Space group: Cmmm (65)



[6]
DFT (PBE) results for a relaxed CsAuS2Cl crystal.

a = 4.915 Å, b = 4.915 Å, c = 5.549 Å
α = 90.00°, β = 90.00°, γ = 90.00°
Atoms (fractional coordinates):
Cs (0.000, 0.000, 0.000)
Au (0.500, 0.500, 0.500)
S (0.000, 0.500, 0.500)
S (0.500, 0.000, 0.500)
Cl (0.500, 0.500, 0.000)

Values from the calculation:
Uncorrected energy: -15.42 eV per formula unit
Total moment: 1.2 μB per formula unit
Offset from the most stable computed form: 0 meV per atom
Uncorrected formation energy: -0.238 eV per atom
Space group: P4/mmm (123)



[7]
DFT (PBE) results for a relaxed Ce2ZrCd crystal.

a = 12.342 Å, b = 12.342 Å, c = 12.342 Å
α = 14.66°, β = 14.66°, γ = 14.66°
Atoms (fractional coordinates):
Ce (0.091, 0.091, 0.091)
Ce (0.909, 0.909, 0.909)
Zr (0.500, 0.500, 0.500)
Cd (0.000, 0.000, 0.000)

Values from the calculation:
Uncorrected energy: -20.63 eV per formula unit
DFT formation energy: 176 meV/atom
Total moment: 0.0 μB per formula unit
Offset from the most stable computed form: 211 meV per atom
Space group: R-3m (166)



[8]
DFT (PBE) results for a relaxed LiTa2W crystal.

a = 2.673 Å, b = 4.589 Å, c = 5.609 Å
α = 90.00°, β = 90.00°, γ = 90.00°
Atoms (fractional coordinates):
Li (0.000, 0.000, 0.000)
Ta (0.000, 0.000, 0.507)
Ta (0.500, 0.500, 0.251)
W (0.500, 0.500, 0.740)

Values from the calculation:
Uncorrected energy: -36.97 eV per formula unit
DFT formation energy: 401 meV/atom
Total moment: 0.0 μB per formula unit
Offset from the most stable computed form: 209 meV per atom
Space group: Pmm2 (25)



[9]
DFT (PBE) results for a relaxed PmHoTlZn crystal.

a = 5.286 Å, b = 5.286 Å, c = 5.286 Å
α = 60.00°, β = 60.00°, γ = 60.00°
Atoms (fractional coordinates):
Pm (0.000, 0.000, 0.000)
Ho (0.500, 0.500, 0.500)
Tl (0.250, 0.250, 0.250)
Zn (0.750, 0.750, 0.750)

Values from the calculation:
Uncorrected energy: -14.26 eV per formula unit
DFT formation energy: -324 meV/atom
Total moment: 0.0 μB per formula unit
Offset from the most stable computed form: 28 meV per atom
Space group: F-43m (216)